# Pr2ZnAs4, PBEsol geometry, DFT SCAN
# N(E_F) in states/eV per atom: 0.3816
# Total magnetization in μB/cell: 0.000
# E in eV/atom: -26.856
# Calculated formation energy in eV/atom: -1.009
data_Pr2ZnAs4
_chemical_formula_sum 'Pr2 Zn1 As4'
_cell_length_a 3.955
_cell_length_b 3.955
_cell_length_c 10.050
_cell_angle_alpha 90.00
_cell_angle_beta 90.00
_cell_angle_gamma 90.00
_symmetry_space_group_name_H-M 'P -4 m 2'
_symmetry_Int_Tables_number 115
loop_
_symmetry_equiv_pos_as_xyz
'x,y,z'
'y,-x,-z'
'-x,-y,z'
'-y,x,-z'
'-x,y,z'
'-y,-x,-z'
'x,-y,z'
'y,x,-z'
loop_
_atom_site_label
_atom_site_fract_x
_atom_site_fract_y
_atom_site_fract_z
Pr1 0.000 0.500 0.242
Zn1 0.000 0.000 0.500
As1 0.000 0.000 0.000
As2 0.000 0.500 0.649
As3 0.500 0.500 0.000

***

# As3Pt, PBEsol geometry, DFT SCAN
# Energy relative to the lowest polymorph listed for this composition in meV per atom: 431
# N(E_F) in states/eV per atom: 0.4645
# Total magnetization in μB/cell: 0.000
# E in eV/atom: -32.410
# Calculated formation energy in eV/atom: 0.282
data_As3Pt
_chemical_formula_sum 'As12 Pt4'
_cell_length_a 4.466
_cell_length_b 4.466
_cell_length_c 13.749
_cell_angle_alpha 90.00
_cell_angle_beta 90.00
_cell_angle_gamma 90.00
_symmetry_space_group_name_H-M 'I 4/m m m'
_symmetry_Int_Tables_number 139
_symmetry_space_group_name_Hall '-I 4 2'
loop_
_atom_site_label
_atom_site_fract_x
_atom_site_fract_y
_atom_site_fract_z
As1 0.000 0.000 0.110
As2 0.000 0.500 0.000
As3 0.000 0.500 0.250
Pt1 0.000 0.000 0.365

***

# As3Pt, PBEsol geometry, DFT SCAN
# Energy relative to the lowest polymorph listed for this composition in meV per atom: 335
# N(E_F) in states/eV per atom: 0.4452
# Total magnetization in μB/cell: 0.000
# E in eV/atom: -32.506
# Calculated formation energy in eV/atom: 0.186
data_As3Pt
_chemical_formula_sum 'As3 Pt1'
_cell_length_a 2.874
_cell_length_b 3.388
_cell_length_c 7.207
_cell_angle_alpha 90.00
_cell_angle_beta 90.00
_cell_angle_gamma 90.00
_symmetry_space_group_name_H-M 'P m m m'
_symmetry_Int_Tables_number 47
loop_
_symmetry_equiv_pos_as_xyz
'x,y,z'
'-x,-y,-z'
'-x,-y,z'
'x,y,-z'
'x,-y,-z'
'-x,y,z'
'-x,y,-z'
'x,-y,z'
loop_
_atom_site_label
_atom_site_fract_x
_atom_site_fract_y
_atom_site_fract_z
As1 0.000 0.000 0.000
As2 0.500 0.500 0.280
Pt1 0.000 0.000 0.500

***

# As3Pt, PBEsol geometry, DFT SCAN
# Energy relative to the lowest polymorph listed for this composition in meV per atom: 0
# N(E_F) in states/eV per atom: 0.4325
# Total magnetization in μB/cell: 0.000
# E in eV/atom: -32.841
# Calculated formation energy in eV/atom: -0.150
data_As3Pt
_chemical_formula_sum 'As9 Pt3'
_cell_length_a 3.6790
_cell_length_b 3.6790
_cell_length_c 18.5536
_cell_angle_alpha 90.00
_cell_angle_beta 90.00
_cell_angle_gamma 120.00
_symmetry_space_group_name_H-M 'R -3 m'
_symmetry_Int_Tables_number 166
_symmetry_space_group_name_Hall '-R 3 2"'
loop_
_atom_site_label
_atom_site_fract_x
_atom_site_fract_y
_atom_site_fract_z
As1 0.0000 0.0000 0.0000
As2 0.0000 0.0000 0.2439
Pt1 0.0000 0.0000 0.5000

***

# As5Pt4, PBEsol geometry, DFT SCAN
# N(E_F) in states/eV per atom: 0.4145
# Total magnetization in μB/cell: 0.000
# E in eV/atom: -42.254
# Calculated formation energy in eV/atom: 0.160
data_As5Pt4
_chemical_formula_sum 'As10 Pt8'
_cell_length_a 8.185
_cell_length_b 8.185
_cell_length_c 4.427
_cell_angle_alpha 90.00
_cell_angle_beta 90.00
_cell_angle_gamma 90.00
_symmetry_space_group_name_H-M 'I 4/m m m'
_symmetry_Int_Tables_number 139
_symmetry_space_group_name_Hall '-I 4 2'
loop_
_atom_site_label
_atom_site_fract_x
_atom_site_fract_y
_atom_site_fract_z
As1 0.000 0.000 0.000
As2 0.176 0.176 0.500
Pt1 0.000 0.327 0.000

***

# AsPt, PBEsol geometry, DFT SCAN
# N(E_F) in states/eV per atom: 0.3834
# Total magnetization in μB/cell: 0.000
# E in eV/atom: -45.429
# Calculated formation energy in eV/atom: -0.237
data_AsPt
_chemical_formula_sum 'As6 Pt6'
_cell_length_a 9.813
_cell_length_b 3.683
_cell_length_c 6.171
_cell_angle_alpha 90.00
_cell_angle_beta 108.87
_cell_angle_gamma 90.00
_symmetry_space_group_name_H-M 'C 1 m 1'
_symmetry_Int_Tables_number 8
loop_
_symmetry_equiv_pos_as_xyz
'x,y,z'
'x,-y,z'
'x+1/2,y+1/2,z'
'x+1/2,-y+1/2,z'
loop_
_atom_site_label
_atom_site_fract_x
_atom_site_fract_y
_atom_site_fract_z
As1 0.000 0.000 0.000
As2 0.128 0.500 0.740
As3 0.364 0.000 0.283
Pt1 0.064 0.000 0.424
Pt2 0.290 0.500 0.488
Pt3 0.323 0.000 0.859

***

# AsPt2, PBEsol geometry, DFT SCAN
# N(E_F) in states/eV per atom: 0.4870
# Total magnetization in μB/cell: 0.000
# E in eV/atom: -53.550
# Calculated formation energy in eV/atom: -0.025
data_AsPt2
_chemical_formula_sum 'As2 Pt4'
_cell_length_a 2.864
_cell_length_b 3.531
_cell_length_c 9.189
_cell_angle_alpha 90.00
_cell_angle_beta 90.00
_cell_angle_gamma 90.00
_symmetry_space_group_name_H-M 'I m m m'
_symmetry_Int_Tables_number 71
_symmetry_space_group_name_Hall '-I 2 2'
loop_
_atom_site_label
_atom_site_fract_x
_atom_site_fract_y
_atom_site_fract_z
As1 0.000 0.000 0.000
Pt1 0.000 0.000 0.343

***

# AsPt2, PBEsol geometry, DFT SCAN
# N(E_F) in states/eV per atom: 0.4222
# Total magnetization in μB/cell: 0.000
# E in eV/atom: -53.772
# Calculated formation energy in eV/atom: -0.246
data_AsPt2
_chemical_formula_sum 'As4 Pt8'
_cell_length_a 5.606
_cell_length_b 4.824
_cell_length_c 7.274
_cell_angle_alpha 90.00
_cell_angle_beta 90.00
_cell_angle_gamma 90.00
_symmetry_space_group_name_H-M 'P n m a'
_symmetry_Int_Tables_number 62
loop_
_symmetry_equiv_pos_as_xyz
'x,y,z'
'-x,-y,-z'
'-x+1/2,-y,z+1/2'
'x+1/2,y,-z+1/2'
'x+1/2,-y+1/2,-z+1/2'
'-x+1/2,y+1/2,z+1/2'
'-x,y+1/2,-z'
'x,-y+1/2,z'
loop_
_atom_site_label
_atom_site_fract_x
_atom_site_fract_y
_atom_site_fract_z
As1 0.127 0.250 0.099
Pt1 0.053 0.250 0.433
Pt2 0.091 0.750 0.206